Entry 1:
Y2RePbO8, optimized geometry, DFT PBE; total moment = 0.00 μB/cell; formation energy from raw total energies = -2.23 eV/atom
1.0
5.018 -0.076 -0.003
-0.053 5.017 -0.005
0.004 0.007 6.945
Y Re Pb O
2 1 1 8
Cartesian
2.486 2.476 5.239
2.484 2.472 1.698
0.000 0.000 0.000
0.002 0.004 3.473
0.871 4.088 1.390
3.611 3.595 -0.006
4.096 0.856 1.391
4.098 0.860 5.548
1.359 1.354 6.943
0.874 4.093 5.546
3.416 3.404 3.467
1.554 1.545 3.470

=====

Entry 2:
ZnRePb2O, optimized geometry, DFT PBE; total moment = 3.35 μB/cell; formation energy from raw total energies = 1.51 eV/atom
1.0
-2.962 -3.374 2.787
3.913 -1.573 2.255
-0.674 3.677 3.735
Pb Re Zn O
2 1 1 1
Cartesian
-0.337 1.838 1.868
-1.481 -1.687 1.393
1.956 -0.787 1.127
0.000 0.000 0.000
0.138 -0.635 4.388

=====

Entry 3:
RhPb2O4, optimized geometry, DFT PBE; total moment = 0.50 μB/cell; formation energy from raw total energies = -0.81 eV/atom
1.0
3.978 0.000 0.000
0.000 3.978 0.000
1.989 1.989 6.419
Pb Rh O
2 1 4
Cartesian
1.989 1.989 1.897
3.978 3.978 4.522
0.000 0.000 0.000
1.989 1.989 4.363
3.978 3.978 2.057
0.000 1.989 0.000
1.989 0.000 0.000

=====

Entry 4:
Rh2PbO, optimized geometry, DFT PBE; total moment = 0.00 μB/cell; formation energy from raw total energies = -0.09 eV/atom; energy above the lowest structure with this stoichiometry = 0.00 kJ/mol of atoms
1.0
-1.939 -1.780 4.087
-1.794 -3.769 -2.492
3.457 -6.038 1.902
Pb Rh O
2 4 2
Cartesian
0.000 0.000 0.000
-0.174 -5.296 3.393
-0.244 -2.792 2.027
-0.827 -4.388 0.121
0.889 -7.247 1.603
-0.370 -8.745 3.244
-1.866 -2.774 0.798
-0.102 -6.290 0.104

=====

Q: Which DOS at the Fermi energy values were calculated for the entries above? A: 1.23, 2.87, 5.01, 0.91, in states/eV/f.u..